Entry 1:
Material: La2Ge4Ir3Au
Method: DFT, PBE
State: relaxed

Cell and atoms, written as POSCAR:
```
La2Ge4Ir3Au
1.0
4.3939 0.0000 0.0000
0.0000 4.3939 0.0000
0.0000 0.0000 10.1877
La Ge Ir Au
2 4 3 1
direct
0.0000 0.5000 0.2386
0.5000 0.0000 0.7614
0.0000 0.0000 0.0000
0.0000 0.5000 0.6375
0.5000 0.0000 0.3625
0.5000 0.5000 0.0000
0.0000 0.5000 0.8778
0.5000 0.0000 0.1222
0.5000 0.5000 0.5000
0.0000 0.0000 0.5000
```

Total energy, eV per atom: -6.538
Crystal system: tetragonal
Formation enthalpy at 0 K, eV/atom: -0.720
Magnetic moment, μB/f.u.: 0.001
ρ, g/cm³: 11.33

=====

Entry 2:
Material: NaGeIrAu
Method: DFT, PBE
State: relaxed

Cell and atoms, written as POSCAR:
```
NaGeIrAu
1.0
3.9750 0.0000 0.0000
0.0000 3.9750 0.0000
0.0000 0.0000 10.5320
Na Ge Ir Au
2 2 2 2
direct
0.2500 0.2500 0.2318
0.7500 0.7500 0.7682
0.2500 0.2500 0.6419
0.7500 0.7500 0.3581
0.2500 0.7500 0.5000
0.7500 0.2500 0.5000
0.2500 0.7500 0.0000
0.7500 0.2500 0.0000
```

Total energy, eV per atom: -4.739
Crystal system: tetragonal
Formation enthalpy at 0 K, eV/atom: -0.221
Magnetic moment, μB/f.u.: 0.000
ρ, g/cm³: 9.68

=====

Entry 3:
Material: Nb2GeIrAu
Method: DFT, PBE
State: relaxed

Cell and atoms, written as POSCAR:
```
Nb2GeIrAu
1.0
4.7661 0.0000 0.0000
0.0000 4.7661 0.0000
0.0000 0.0000 4.4865
Nb Ge Ir Au
2 1 1 1
direct
0.0000 0.5000 0.0000
0.5000 0.0000 0.0000
0.0000 0.0000 0.0000
0.0000 0.0000 0.5000
0.5000 0.5000 0.5000
```

Total energy, eV per atom: -6.526
Crystal system: tetragonal
Formation enthalpy at 0 K, eV/atom: 0.853
Magnetic moment, μB/f.u.: 0.000
ρ, g/cm³: 10.55

=====

Entry 4:
Material: Np2Ge4Ir3Au
Method: DFT, PBE
State: relaxed

Cell and atoms, written as POSCAR:
```
Np2Ge4Ir3Au
1.0
4.2803 0.0000 0.0000
0.0000 4.2803 0.0000
0.0000 0.0000 10.2278
Np Ge Ir Au
2 4 3 1
direct
0.0000 0.5000 0.2380
0.5000 0.0000 0.7620
0.0000 0.0000 0.0000
0.0000 0.5000 0.6393
0.5000 0.0000 0.3607
0.5000 0.5000 0.0000
0.0000 0.5000 0.8746
0.5000 0.0000 0.1254
0.5000 0.5000 0.5000
0.0000 0.0000 0.5000
```

Total energy, eV per atom: -7.738
Crystal system: tetragonal
Formation enthalpy at 0 K, eV/atom: -0.317
Magnetic moment, μB/f.u.: 7.808
ρ, g/cm³: 13.63

=====

Entry 5:
Material: GePIr2Au
Method: DFT, PBE
State: relaxed

Cell and atoms, written as POSCAR:
```
GePIr2Au
1.0
5.0560 0.0000 0.0000
0.0000 5.0560 0.0000
0.0000 0.0000 4.3722
Ge P Ir Au
1 1 2 1
direct
0.0000 0.0000 0.0000
0.5000 0.5000 0.0000
0.0000 0.5000 0.5000
0.5000 0.0000 0.5000
0.5000 0.5000 0.5000
```

Total energy, eV per atom: -4.458
Crystal system: tetragonal
Formation enthalpy at 0 K, eV/atom: 1.747
Magnetic moment, μB/f.u.: 1.653
ρ, g/cm³: 10.18

=====

Entry 6:
Material: Pa2Ge4Ir3Au
Method: DFT, PBE
State: relaxed

Cell and atoms, written as POSCAR:
```
Pa2Ge4Ir3Au
1.0
4.2906 0.0000 0.0000
0.0000 4.2906 0.0000
0.0000 0.0000 10.0685
Pa Ge Ir Au
2 4 3 1
direct
0.0000 0.5000 0.2435
0.5000 0.0000 0.7565
0.0000 0.0000 0.0000
0.0000 0.5000 0.6387
0.5000 0.0000 0.3613
0.5000 0.5000 0.0000
0.0000 0.5000 0.8756
0.5000 0.0000 0.1244
0.5000 0.5000 0.5000
0.0000 0.0000 0.5000
```

Total energy, eV per atom: -7.267
Crystal system: tetragonal
Formation enthalpy at 0 K, eV/atom: -0.535
Magnetic moment, μB/f.u.: 0.000
ρ, g/cm³: 13.67

=====

Entry 7:
Material: Pr2Ge3Ir4Au
Method: DFT, PBE
State: relaxed

Cell and atoms, written as POSCAR:
```
Pr2Ge3Ir4Au
1.0
4.2534 0.0000 0.0000
0.0000 4.2534 0.0000
0.0000 0.0000 10.6708
Pr Ge Ir Au
2 3 4 1
direct
0.0000 0.5000 0.2491
0.5000 0.0000 0.7509
0.0000 0.5000 0.8749
0.5000 0.0000 0.1251
0.5000 0.5000 0.5000
0.0000 0.0000 0.0000
0.0000 0.5000 0.6471
0.5000 0.0000 0.3529
0.5000 0.5000 0.0000
0.0000 0.0000 0.5000
```

Total energy, eV per atom: -6.837
Crystal system: tetragonal
Formation enthalpy at 0 K, eV/atom: -0.623
Magnetic moment, μB/f.u.: 0.000
ρ, g/cm³: 12.61

=====

Entry 8:
Material: Pr2Ge4IrAu3
Method: DFT, PBE
State: relaxed

Cell and atoms, written as POSCAR:
```
Pr2Ge4IrAu3
1.0
4.3587 0.0000 0.0000
0.0000 4.3587 0.0000
0.0000 0.0000 10.8754
Pr Ge Ir Au
2 4 1 3
direct
0.0000 0.5000 0.2358
0.5000 0.0000 0.7642
0.0000 0.0000 0.5000
0.0000 0.5000 0.8736
0.5000 0.0000 0.1264
0.5000 0.5000 0.5000
0.5000 0.5000 0.0000
0.0000 0.0000 0.0000
0.0000 0.5000 0.6408
0.5000 0.0000 0.3592
```

Total energy, eV per atom: -5.222
Crystal system: tetragonal
Formation enthalpy at 0 K, eV/atom: -0.550
Magnetic moment, μB/f.u.: 0.000
ρ, g/cm³: 10.89